Hf2CuRe: optimized geometry, PBE.

Results
E_tot   -9.2996 eV/atom
Formation energy   -0.2870 eV per atom
Calculated volume   17.34 Å³/atom
Space-group type   P4/mmm

a = 3.297 Å, b = 3.297 Å, c = 6.381 Å
α = 90.00°, β = 90.00°, γ = 90.00°
Element x y z (fractional)
Re  0.000  0.000  0.000
Cu  0.000  0.000  0.500
Hf  0.500  0.500  0.245
Hf  0.500  0.500  0.755